VASP calculation (PBE+U) on BiH2WO6 after structural relaxation.

a = 5.0896 Å, b = 5.1708 Å, c = 5.7064 Å
α = 64.70°, β = 64.91°, γ = 64.06°
Space group P1 (No. 1)
Unique sites:
Bi: 0.0000 0.0000 0.0000
H: 0.0566 0.3212 0.2705
H: 0.7802 0.6054 0.7264
W: 0.4544 0.5276 0.5013
O: 0.1055 0.7309 0.7283
O: 0.2590 0.5730 0.2664
O: 0.4151 0.1409 0.7273
O: 0.5869 0.8726 0.2803
O: 0.7179 0.4391 0.7468
O: 0.8774 0.2843 0.2785

Summary:
- V (Å³/atom) = 11.68
- mass density (g/cm3) = 6.98
- total energy (eV/atom) = -6.0788